Entry from the Alexandria database: crystalline La2Pr2Dy3 at its relaxed geometry (PBE).

abc: 17.9437 3.5434 8.7689
angles: 90.00 119.00 90.00
Last column: nearest neighbours and their distance in Å.
Space group C2/m (No. 12)
Symmetry-distinct sites (fractional):
La  0.0665  0.0000  0.4112 [4 per cell]  3 La 3.42-3.54, 5 Dy 3.51-3.66, 2 Pr 3.76
Pr  0.1510  0.5000  0.8423 [4 per cell]  4 Pr 3.54-3.73, 4 Dy 3.59-3.71, 4 La 3.76-3.86
Dy  0.0000  0.5000  0.0000 [2 per cell]  4 Dy 3.44-3.54, 2 Pr 3.59, 4 La 3.66
Dy  0.2128  0.5000  0.3035 [4 per cell]  5 Dy 3.44-3.54, 3 La 3.51-3.65, 3 Pr 3.64-3.71

- E (eV/cell) = -64.75
- formation energy from the elements (eV per atom) = 0.121
- distance to the lowest polymorph of the same formula (eV/atom) = 0.0034
- Fermi-level density of states (states/eV/cell) = 23.73
- total moment (Bohr magnetons per cell) = 0.0